Entry 1:
This record from Alexandria via LeMat-Bulk describes a relaxed SrCaTeN2 crystal. The functional is GGA-PBE.

Crystal system: tetragonal
Symmetry: P4/mmm (123)
ΔE to the lowest computed polymorph (eV/atom): 0.000

a b c (Å): 4.7435 4.7435 6.1478
angles (deg): 90.00 90.00 90.00
Sites, in units of the cell vectors:
N: 0.5000 0.0000 0.0000
N: 0.0000 0.5000 0.0000
Te: 0.0000 0.0000 0.5000
Ca: 0.0000 0.0000 0.0000
Sr: 0.5000 0.5000 0.5000

=====

Entry 2:
This record from Alexandria via LeMat-Bulk describes a relaxed SrCaTeN2 crystal. The functional is GGA-PBE.

Crystal system: tetragonal
Symmetry: P4/mmm (123)
ΔE to the lowest computed polymorph (eV/atom): 0.228

a b c (Å): 4.7949 4.7949 6.5347
angles (deg): 90.00 90.00 90.00
Sites, in units of the cell vectors:
N: 0.0000 0.5000 0.0000
N: 0.5000 0.0000 0.0000
Ca: 0.5000 0.5000 0.5000
Te: 0.0000 0.0000 0.5000
Sr: 0.0000 0.0000 0.0000

=====

Entry 3:
This record from Alexandria via LeMat-Bulk describes a relaxed SrCa2TlN crystal. The functional is GGA-PBE.

Crystal system: tetragonal
Symmetry: P4/mmm (123)

a b c (Å): 4.9305 4.9305 5.4071
angles (deg): 90.00 90.00 90.00
Sites, in units of the cell vectors:
Sr: 0.0000 0.0000 0.5000
Tl: 0.5000 0.5000 0.5000
Ca: 0.0000 0.5000 0.0000
Ca: 0.5000 0.0000 0.0000
N: 0.0000 0.0000 0.0000

=====

Entry 4:
This record from Alexandria via LeMat-Bulk describes a relaxed Sr2CaUN4 crystal. The functional is GGA-PBE.

Crystal system: monoclinic
Symmetry: P2/m (10)

a b c (Å): 3.6419 6.1063 6.2825
angles (deg): 108.85 90.00 90.00
Sites, in units of the cell vectors:
Sr: 0.5000 0.0000 0.5000
Sr: 0.0000 0.5000 0.5000
N: 0.5000 0.7833 0.7926
N: 0.0000 0.7869 0.2000
N: 0.5000 0.2167 0.2074
N: 0.0000 0.2131 0.8000
Ca: 0.5000 0.5000 0.0000
U: 0.0000 0.0000 0.0000

=====

Formation energy without anion corrections in eV/atom, matching the order above: 0.374 0.602 -0.565 -1.133
Calculated volume in Å³/cell, matching the order above: 138.33 150.24 131.45 132.22